# 1
# Tb2ErNpAs4 | Alexandria | PBE | relaxed
# Total DFT energy (no corrections): -55.9 eV for the cell shown
# E_form: -1.3123 eV per atom
# Size of the total moment: 0.4694 μB per atom
data_Tb2ErNpAs4
_space_group_name_H-M_alt 'P 1 2/m 1'
_space_group_IT_number 10
_cell_length_a 7.1222
_cell_length_b 4.1088
_cell_length_c 7.1282
_cell_angle_alpha 90.00
_cell_angle_beta 109.31
_cell_angle_gamma 90.00
loop_
_space_group_symop_operation_xyz
'x,y,z'
'-x,-y,-z'
'-x,y,-z'
'x,-y,z'
loop_
_atom_site_label
_atom_site_type_symbol
_atom_site_fract_x
_atom_site_fract_y
_atom_site_fract_z
_atom_site_occupancy
Tb1 Tb 0.0000 0.0000 0.0000 1
Tb2 Tb 0.5000 0.5000 0.0000 1
Er1 Er 0.0000 0.5000 0.5000 1
Np1 Np 0.5000 0.0000 0.5000 1
As1 As 0.2498 0.0000 0.7453 1
As2 As 0.2514 0.5000 0.2538 1

# 2
# TbErNp2As4 | Alexandria | PBE | relaxed
# Total DFT energy (no corrections): -62.3 eV for the cell shown
# E_form: -1.0756 eV per atom
# Size of the total moment: 0.0035 μB per atom
data_TbErNp2As4
_space_group_name_H-M_alt 'P 1 2/m 1'
_space_group_IT_number 10
_cell_length_a 7.1193
_cell_length_b 4.0870
_cell_length_c 7.1193
_cell_angle_alpha 90.00
_cell_angle_beta 109.29
_cell_angle_gamma 90.00
loop_
_space_group_symop_operation_xyz
'x,y,z'
'-x,-y,-z'
'-x,y,-z'
'x,-y,z'
loop_
_atom_site_label
_atom_site_type_symbol
_atom_site_fract_x
_atom_site_fract_y
_atom_site_fract_z
_atom_site_occupancy
Tb1 Tb 0.0000 0.0000 0.0000 1
Er1 Er 0.0000 0.5000 0.5000 1
Np1 Np 0.5000 0.0000 0.5000 1
Np2 Np 0.5000 0.5000 0.0000 1
As1 As 0.2507 0.0000 0.7485 1
As2 As 0.2522 0.5000 0.2525 1

# 3
# ErThNp2As4 | Alexandria | PBE | relaxed
# Total DFT energy (no corrections): -64.9 eV for the cell shown
# E_form: -1.0488 eV per atom
# Size of the total moment: 0.0035 μB per atom
data_ErThNp2As4
_space_group_name_H-M_alt 'P 1 2/m 1'
_space_group_IT_number 10
_cell_length_a 7.1725
_cell_length_b 4.1414
_cell_length_c 7.1919
_cell_angle_alpha 90.00
_cell_angle_beta 109.47
_cell_angle_gamma 90.00
loop_
_space_group_symop_operation_xyz
'x,y,z'
'-x,-y,-z'
'-x,y,-z'
'x,-y,z'
loop_
_atom_site_label
_atom_site_type_symbol
_atom_site_fract_x
_atom_site_fract_y
_atom_site_fract_z
_atom_site_occupancy
Er1 Er 0.0000 0.0000 0.0000 1
Th1 Th 0.0000 0.5000 0.5000 1
Np1 Np 0.5000 0.0000 0.5000 1
Np2 Np 0.5000 0.5000 0.0000 1
As1 As 0.2528 0.5000 0.2459 1
As2 As 0.2562 0.0000 0.7587 1

# 4
# Er2TmNpAs4 | Alexandria | PBE | relaxed
# Total DFT energy (no corrections): -55.5 eV for the cell shown
# E_form: -1.2960 eV per atom
# Size of the total moment: 0.4710 μB per atom
data_Er2TmNpAs4
_space_group_name_H-M_alt 'P 1 2/m 1'
_space_group_IT_number 10
_cell_length_a 7.0661
_cell_length_b 4.0774
_cell_length_c 7.0685
_cell_angle_alpha 90.00
_cell_angle_beta 109.34
_cell_angle_gamma 90.00
loop_
_space_group_symop_operation_xyz
'x,y,z'
'-x,-y,-z'
'-x,y,-z'
'x,-y,z'
loop_
_atom_site_label
_atom_site_type_symbol
_atom_site_fract_x
_atom_site_fract_y
_atom_site_fract_z
_atom_site_occupancy
Er1 Er 0.0000 0.0000 0.0000 1
Er2 Er 0.5000 0.5000 0.0000 1
Tm1 Tm 0.0000 0.5000 0.5000 1
Np1 Np 0.5000 0.0000 0.5000 1
As1 As 0.2493 0.5000 0.2501 1
As2 As 0.2500 0.0000 0.7484 1

# 5
# ErTm2NpAs4 | Alexandria | PBE | relaxed
# Total DFT energy (no corrections): -55.4 eV for the cell shown
# E_form: -1.2924 eV per atom
# Size of the total moment: 0.4715 μB per atom
data_ErTm2NpAs4
_space_group_name_H-M_alt 'P 1 2/m 1'
_space_group_IT_number 10
_cell_length_a 7.0578
_cell_length_b 4.0720
_cell_length_c 7.0603
_cell_angle_alpha 90.00
_cell_angle_beta 109.33
_cell_angle_gamma 90.00
loop_
_space_group_symop_operation_xyz
'x,y,z'
'-x,-y,-z'
'-x,y,-z'
'x,-y,z'
loop_
_atom_site_label
_atom_site_type_symbol
_atom_site_fract_x
_atom_site_fract_y
_atom_site_fract_z
_atom_site_occupancy
Er1 Er 0.0000 0.0000 0.0000 1
Tm1 Tm 0.5000 0.0000 0.5000 1
Tm2 Tm 0.5000 0.5000 0.0000 1
Np1 Np 0.0000 0.5000 0.5000 1
As1 As 0.2505 0.5000 0.2512 1
As2 As 0.2516 0.0000 0.7508 1

# 6
# ErTmNp2As4 | Alexandria | PBE | relaxed
# Total DFT energy (no corrections): -62.2 eV for the cell shown
# E_form: -1.0916 eV per atom
# Size of the total moment: 0.9577 μB per atom
data_ErTmNp2As4
_space_group_name_H-M_alt 'P 1 2/m 1'
_space_group_IT_number 10
_cell_length_a 7.0743
_cell_length_b 4.0826
_cell_length_c 7.0912
_cell_angle_alpha 90.00
_cell_angle_beta 109.41
_cell_angle_gamma 90.00
loop_
_space_group_symop_operation_xyz
'x,y,z'
'-x,-y,-z'
'-x,y,-z'
'x,-y,z'
loop_
_atom_site_label
_atom_site_type_symbol
_atom_site_fract_x
_atom_site_fract_y
_atom_site_fract_z
_atom_site_occupancy
Er1 Er 0.0000 0.0000 0.0000 1
Tm1 Tm 0.5000 0.5000 0.0000 1
Np1 Np 0.0000 0.5000 0.5000 1
Np2 Np 0.5000 0.0000 0.5000 1
As1 As 0.2504 0.5000 0.2494 1
As2 As 0.2510 0.0000 0.7511 1

# 7
# Y2ErNpAs4 | Alexandria | PBE | relaxed
# Total DFT energy (no corrections): -59.6 eV for the cell shown
# E_form: -1.3202 eV per atom
# Size of the total moment: 0.4712 μB per atom
data_Y2ErNpAs4
_space_group_name_H-M_alt 'P 1 2/m 1'
_space_group_IT_number 10
_cell_length_a 7.1107
_cell_length_b 4.1027
_cell_length_c 7.1147
_cell_angle_alpha 90.00
_cell_angle_beta 109.32
_cell_angle_gamma 90.00
loop_
_space_group_symop_operation_xyz
'x,y,z'
'-x,-y,-z'
'-x,y,-z'
'x,-y,z'
loop_
_atom_site_label
_atom_site_type_symbol
_atom_site_fract_x
_atom_site_fract_y
_atom_site_fract_z
_atom_site_occupancy
Y1 Y 0.0000 0.0000 0.0000 1
Y2 Y 0.5000 0.5000 0.0000 1
Er1 Er 0.0000 0.5000 0.5000 1
Np1 Np 0.5000 0.0000 0.5000 1
As1 As 0.2499 0.0000 0.7460 1
As2 As 0.2511 0.5000 0.2531 1

# 8
# ErZrNp2As4 | Alexandria | PBE | relaxed
# Total DFT energy (no corrections): -65.6 eV for the cell shown
# E_form: -1.0007 eV per atom
# Size of the total moment: 0.0085 μB per atom
data_ErZrNp2As4
_space_group_name_H-M_alt 'P 1 2/m 1'
_space_group_IT_number 10
_cell_length_a 6.9820
_cell_length_b 4.0184
_cell_length_c 7.0073
_cell_angle_alpha 90.00
_cell_angle_beta 109.28
_cell_angle_gamma 90.00
loop_
_space_group_symop_operation_xyz
'x,y,z'
'-x,-y,-z'
'-x,y,-z'
'x,-y,z'
loop_
_atom_site_label
_atom_site_type_symbol
_atom_site_fract_x
_atom_site_fract_y
_atom_site_fract_z
_atom_site_occupancy
Er1 Er 0.0000 0.0000 0.0000 1
Zr1 Zr 0.0000 0.5000 0.5000 1
Np1 Np 0.5000 0.0000 0.5000 1
Np2 Np 0.5000 0.5000 0.0000 1
As1 As 0.2407 0.0000 0.7419 1
As2 As 0.2438 0.5000 0.2542 1

# 9
# Er2ZrNpAs4 | Alexandria | PBE | relaxed
# Total DFT energy (no corrections): -58.9 eV for the cell shown
# E_form: -1.2062 eV per atom
# Size of the total moment: 0.4950 μB per atom
data_Er2ZrNpAs4
_space_group_name_H-M_alt 'P 1 2/m 1'
_space_group_IT_number 10
_cell_length_a 6.9637
_cell_length_b 4.0226
_cell_length_c 6.9807
_cell_angle_alpha 90.00
_cell_angle_beta 109.20
_cell_angle_gamma 90.00
loop_
_space_group_symop_operation_xyz
'x,y,z'
'-x,-y,-z'
'-x,y,-z'
'x,-y,z'
loop_
_atom_site_label
_atom_site_type_symbol
_atom_site_fract_x
_atom_site_fract_y
_atom_site_fract_z
_atom_site_occupancy
Er1 Er 0.0000 0.0000 0.0000 1
Er2 Er 0.5000 0.5000 0.0000 1
Zr1 Zr 0.0000 0.5000 0.5000 1
Np1 Np 0.5000 0.0000 0.5000 1
As1 As 0.2422 0.0000 0.7421 1
As2 As 0.2449 0.5000 0.2535 1

# 10
# ErAsO3 | Alexandria | PBE | relaxed
# Total DFT energy (no corrections): -108.8 eV for the cell shown
# Energy relative to the elements, uncorrected: -2438.5 meV/atom
# Size of the total moment: 0.0000 μB per atom
data_ErAsO3
_space_group_name_H-M_alt 'R 3 m'
_space_group_IT_number 160
_space_group_name_Hall 'R 3 -2"'
_cell_length_a 6.0696
_cell_length_b 6.0696
_cell_length_c 8.1872
_cell_angle_alpha 90.00
_cell_angle_beta 90.00
_cell_angle_gamma 120.00
loop_
_atom_site_label
_atom_site_type_symbol
_atom_site_fract_x
_atom_site_fract_y
_atom_site_fract_z
_atom_site_occupancy
Er1 Er 0.0000 0.0000 0.0000 1
As1 As 0.0000 0.0000 0.3530 1
O1 O 0.1899 0.3798 0.8928 1

# 11
# ErAsO4 | Alexandria | PBE | relaxed
# Total DFT energy (no corrections): -173.5 eV for the cell shown
# Energy relative to the elements, uncorrected: -2388.9 meV/atom
# Size of the total moment: 0.0000 μB per atom
data_ErAsO4
_space_group_name_H-M_alt 'I 41/a m d'
_space_group_IT_number 141
_cell_length_a 7.0963
_cell_length_b 7.0963
_cell_length_c 6.3251
_cell_angle_alpha 90.00
_cell_angle_beta 90.00
_cell_angle_gamma 90.00
loop_
_space_group_symop_operation_xyz
'x,y,z'
'-x,-y,-z'
'-y+1/4,x+3/4,z+1/4'
'y+1/4,-x+3/4,-z+1/4'
'-x+1/2,-y,z+1/2'
'x+1/2,y,-z+1/2'
'y+1/4,-x+1/4,z+3/4'
'-y+1/4,x+1/4,-z+3/4'
'x,-y,-z'
'-x,y,z'
'-y+1/4,-x+1/4,-z+3/4'
'y+1/4,x+1/4,z+3/4'
'-x+1/2,y,-z+1/2'
'x+1/2,-y,z+1/2'
'y+1/4,x+3/4,-z+1/4'
'-y+1/4,-x+3/4,z+1/4'
'x+1/2,y+1/2,z+1/2'
'-x+1/2,-y+1/2,-z+1/2'
'-y+3/4,x+1/4,z+3/4'
'y+3/4,-x+1/4,-z+3/4'
'-x,-y+1/2,z'
'x,y+1/2,-z'
'y+3/4,-x+3/4,z+1/4'
'-y+3/4,x+3/4,-z+1/4'
'x+1/2,-y+1/2,-z+1/2'
'-x+1/2,y+1/2,z+1/2'
'-y+3/4,-x+3/4,-z+1/4'
'y+3/4,x+3/4,z+1/4'
'-x,y+1/2,-z'
'x,-y+1/2,z'
'y+3/4,x+1/4,-z+3/4'
'-y+3/4,-x+1/4,z+3/4'
loop_
_atom_site_label
_atom_site_type_symbol
_atom_site_fract_x
_atom_site_fract_y
_atom_site_fract_z
_atom_site_occupancy
Er1 Er 0.0000 0.2500 0.3750 1
As1 As 0.0000 0.2500 0.8750 1
O1 O 0.0000 0.0677 0.6961 1

# 12
# Er3AsO7 | Alexandria | PBE | relaxed
# Total DFT energy (no corrections): -341.3 eV for the cell shown
# Energy relative to the elements, uncorrected: -2933.4 meV/atom
# Size of the total moment: 0.0000 μB per atom
data_Er3AsO7
_space_group_name_H-M_alt 'C 2 2 21'
_space_group_IT_number 20
_cell_length_a 7.3188
_cell_length_b 10.2690
_cell_length_c 7.2769
_cell_angle_alpha 90.00
_cell_angle_beta 90.00
_cell_angle_gamma 90.00
loop_
_space_group_symop_operation_xyz
'x,y,z'
'-x,-y,z+1/2'
'x,-y,-z'
'-x,y,-z+1/2'
'x+1/2,y+1/2,z'
'-x+1/2,-y+1/2,z+1/2'
'x+1/2,-y+1/2,-z'
'-x+1/2,y+1/2,-z+1/2'
loop_
_atom_site_label
_atom_site_type_symbol
_atom_site_fract_x
_atom_site_fract_y
_atom_site_fract_z
_atom_site_occupancy
Er1 Er 0.0223 0.0000 0.0000 1
Er2 Er 0.2332 0.2685 0.7538 1
As1 As 0.0008 0.5000 0.0000 1
O1 O 0.0000 0.1300 0.2500 1
O2 O 0.0000 0.1372 0.7500 1
O3 O 0.0000 0.4392 0.7500 1
O4 O 0.1784 0.3759 0.0325 1
O5 O 0.1912 0.3797 0.4736 1

# 13
# Er6AsO12 | Alexandria | PBE | relaxed
# Total DFT energy (no corrections): -451.2 eV for the cell shown
# Energy relative to the elements, uncorrected: -3098.6 meV/atom
# Size of the total moment: 0.0601 μB per atom
data_Er6AsO12
_space_group_name_H-M_alt 'R -3'
_space_group_IT_number 148
_space_group_name_Hall '-R 3'
_cell_length_a 9.6412
_cell_length_b 9.6412
_cell_length_c 9.2086
_cell_angle_alpha 90.00
_cell_angle_beta 90.00
_cell_angle_gamma 120.00
loop_
_atom_site_label
_atom_site_type_symbol
_atom_site_fract_x
_atom_site_fract_y
_atom_site_fract_z
_atom_site_occupancy
Er1 Er 0.0508 0.7898 0.1504 1
As1 As 0.0000 0.0000 0.5000 1
O1 O 0.0372 0.8121 0.9026 1
O2 O 0.0437 0.8583 0.3914 1

# 14
# Er5As4O | Alexandria | PBE | relaxed
# Total DFT energy (no corrections): -126.9 eV for the cell shown
# Energy relative to the elements, uncorrected: -1707.1 meV/atom
# Size of the total moment: 0.0000 μB per atom
data_Er5As4O
_space_group_name_H-M_alt 'I 4'
_space_group_IT_number 79
_cell_length_a 8.8423
_cell_length_b 8.8423
_cell_length_c 5.7318
_cell_angle_alpha 90.00
_cell_angle_beta 90.00
_cell_angle_gamma 90.00
loop_
_space_group_symop_operation_xyz
'x,y,z'
'-y,x,z'
'-x,-y,z'
'y,-x,z'
'x+1/2,y+1/2,z+1/2'
'-y+1/2,x+1/2,z+1/2'
'-x+1/2,-y+1/2,z+1/2'
'y+1/2,-x+1/2,z+1/2'
loop_
_atom_site_label
_atom_site_type_symbol
_atom_site_fract_x
_atom_site_fract_y
_atom_site_fract_z
_atom_site_occupancy
Er1 Er 0.0000 0.0000 0.0000 1
Er2 Er 0.0979 0.7134 0.5690 1
As1 As 0.0946 0.6998 0.0691 1
O1 O 0.0000 0.0000 0.6229 1

# 15
# Er3As2O2 | Alexandria | PBE | relaxed
# Total DFT energy (no corrections): -97.6 eV for the cell shown
# Energy relative to the elements, uncorrected: -2274.4 meV/atom
# Size of the total moment: 0.0000 μB per atom
data_Er3As2O2
_space_group_name_H-M_alt 'C 1 2/m 1'
_space_group_IT_number 12
_cell_length_a 11.9000
_cell_length_b 3.8408
_cell_length_c 6.8020
_cell_angle_alpha 90.00
_cell_angle_beta 111.26
_cell_angle_gamma 90.00
loop_
_space_group_symop_operation_xyz
'x,y,z'
'-x,-y,-z'
'-x,y,-z'
'x,-y,z'
'x+1/2,y+1/2,z'
'-x+1/2,-y+1/2,-z'
'-x+1/2,y+1/2,-z'
'x+1/2,-y+1/2,z'
loop_
_atom_site_label
_atom_site_type_symbol
_atom_site_fract_x
_atom_site_fract_y
_atom_site_fract_z
_atom_site_occupancy
Er1 Er 0.0000 0.0000 0.0000 1
Er2 Er 0.1882 0.5000 0.7712 1
As1 As 0.1200 0.5000 0.3158 1
O1 O 0.1599 0.0000 0.9039 1

# 16
# Er3AsO3 | Alexandria | PBE | relaxed
# Total DFT energy (no corrections): -320.9 eV for the cell shown
# Energy relative to the elements, uncorrected: -2895.8 meV/atom
# Size of the total moment: 0.0000 μB per atom
data_Er3AsO3
_space_group_name_H-M_alt 'R -3'
_space_group_IT_number 148
_space_group_name_Hall '-R 3'
_cell_length_a 6.5590
_cell_length_b 6.5590
_cell_length_c 20.5131
_cell_angle_alpha 90.00
_cell_angle_beta 90.00
_cell_angle_gamma 120.00
loop_
_atom_site_label
_atom_site_type_symbol
_atom_site_fract_x
_atom_site_fract_y
_atom_site_fract_z
_atom_site_occupancy
Er1 Er 0.0048 0.6445 0.4020 1
As1 As 0.0000 0.0000 0.1669 1
O1 O 0.0101 0.6963 0.6242 1

# 17
# Er12As3O5 | Alexandria | PBE | relaxed
# Total DFT energy (no corrections): -1030.4 eV for the cell shown
# Energy relative to the elements, uncorrected: -1765.4 meV/atom
# Size of the total moment: 0.0000 μB per atom
data_Er12As3O5
_space_group_name_H-M_alt 'I a -3 d'
_space_group_IT_number 230
_space_group_name_Hall '-I 4bd 2c 3'
_cell_length_a 15.0492
_cell_length_b 15.0492
_cell_length_c 15.0492
_cell_angle_alpha 90.00
_cell_angle_beta 90.00
_cell_angle_gamma 90.00
loop_
_atom_site_label
_atom_site_type_symbol
_atom_site_fract_x
_atom_site_fract_y
_atom_site_fract_z
_atom_site_occupancy
Er1 Er 0.0377 0.0524 0.6495 1
As1 As 0.0000 0.2500 0.1250 1
O1 O 0.0000 0.0000 0.0000 1
O2 O 0.0000 0.2500 0.3750 1

# 18
# ErPaAsO2 | Alexandria | PBE | relaxed
# Total DFT energy (no corrections): -84.1 eV for the cell shown
# Energy relative to the elements, uncorrected: -2681.5 meV/atom
# Size of the total moment: 0.1971 μB per atom
data_ErPaAsO2
_space_group_name_H-M_alt 'I 4 m m'
_space_group_IT_number 107
_space_group_name_Hall 'I 4 -2'
_cell_length_a 3.7923
_cell_length_b 3.7923
_cell_length_c 12.0329
_cell_angle_alpha 90.00
_cell_angle_beta 90.00
_cell_angle_gamma 90.00
loop_
_atom_site_label
_atom_site_type_symbol
_atom_site_fract_x
_atom_site_fract_y
_atom_site_fract_z
_atom_site_occupancy
Er1 Er 0.0000 0.0000 0.0000 1
Pa1 Pa 0.0000 0.0000 0.7087 1
As1 As 0.0000 0.0000 0.3501 1
O1 O 0.0000 0.5000 0.1039 1

# 19
# ErPaAsO6 | Alexandria | PBE | relaxed
# Total DFT energy (no corrections): -144.4 eV for the cell shown
# Energy relative to the elements, uncorrected: -2639.6 meV/atom
# Size of the total moment: 0.0000 μB per atom
data_ErPaAsO6
_space_group_name_H-M_alt 'P -3 1 c'
_space_group_IT_number 163
_space_group_name_Hall '-P 3 2c'
_cell_length_a 5.4231
_cell_length_b 5.4231
_cell_length_c 9.5577
_cell_angle_alpha 90.00
_cell_angle_beta 90.00
_cell_angle_gamma 120.00
loop_
_atom_site_label
_atom_site_type_symbol
_atom_site_fract_x
_atom_site_fract_y
_atom_site_fract_z
_atom_site_occupancy
Er1 Er 0.3333 0.6667 0.2500 1
Pa1 Pa 0.0000 0.0000 0.0000 1
As1 As 0.3333 0.6667 0.7500 1
O1 O 0.0332 0.3512 0.6317 1